RbCaVTePdF | PBE with a Hubbard U | optimized geometry

Computed properties:
DOS(E_F) in states/eV/f.u.: 0.06
Energy above the most stable polymorph in this dataset in meV/atom: 45
Space-group type: Cm, No. 8
Energy in eV/atom: -4.41

```
RbCaVTePdF
1.0
-8.433 6.507 -2.905
-2.566 -2.924 0.901
0.784 1.627 7.510
F Pd Rb Ca Te V
2 2 2 2 2 2
Cartesian
-7.592 8.005 4.355 F
-9.266 5.730 1.050 F
-5.172 3.164 4.385 Pd
-4.281 3.813 0.180 Pd
-7.050 4.031 1.850 Rb
-5.375 6.306 5.154 Rb
-1.341 0.673 7.214 Ca
-0.450 1.322 3.008 Ca
-3.357 0.799 1.879 Te
-1.683 3.074 5.183 Te
-4.787 1.284 -0.622 V
-3.113 3.559 2.683 V
```